Record 1
First-principles (PBE) data for an optimized crystal structure of AlCoSe2, as listed in Alexandria.

abc: 6.6371 6.6371 6.6371
angles: 150.70 150.20 42.28
Fractional coordinates of all 4 atoms:
1 Al 0.0000 0.0000 0.0000
2 Co 0.7308 0.2308 0.5000
3 Se 0.1663 0.6663 0.5000
4 Se 0.4107 0.4107 0.0000

Summary:
DOS at the Fermi energy: 1.038 states/eV/atom
E_form (uncorrected): -0.2 eV/f.u.
Calculated total energy: -18.05 eV/cell

Record 2
First-principles (PBE) data for an optimized crystal structure of MgNbIn2, as listed in Alexandria.

abc: 6.2319 6.2319 6.2319
angles: 103.62 103.62 121.95
Fractional coordinates of all 8 atoms:
1 Mg 0.0000 0.0000 0.0000
2 Mg 0.7500 0.2500 0.5000
3 Nb 0.2500 0.7500 0.5000
4 Nb 0.5000 0.5000 0.0000
5 In 0.1172 0.6250 0.9922
6 In 0.3750 0.3672 0.4922
7 In 0.6328 0.1250 0.0078
8 In 0.8750 0.8828 0.5078

Summary:
Energy of formation: 420 meV/atom
DOS at the Fermi energy: 1.057 states/eV/atom
Calculated total energy: -30.92 eV/cell

Record 3
First-principles (PBE) data for an optimized crystal structure of Rb6InCl8, as listed in Alexandria.

abc: 9.4118 9.4118 7.3084
angles: 90.00 90.00 120.00
Fractional coordinates of all 15 atoms:
1 Rb 0.0000 0.3822 0.2221
2 Rb 0.0000 0.6178 0.7779
3 Rb 0.3822 0.0000 0.2221
4 Rb 0.3822 0.3822 0.7779
5 Rb 0.6178 0.0000 0.7779
6 Rb 0.6178 0.6178 0.2221
7 In 0.0000 0.0000 0.5000
8 Cl 0.0000 0.2622 0.6940
9 Cl 0.0000 0.7378 0.3060
10 Cl 0.2622 0.0000 0.6940
11 Cl 0.2622 0.2622 0.3060
12 Cl 0.3333 0.6667 0.0000
13 Cl 0.6667 0.3333 0.0000
14 Cl 0.7378 0.0000 0.3060
15 Cl 0.7378 0.7378 0.6940

Summary:
DOS at the Fermi energy: 0.221 states/eV/atom
E_form (uncorrected): -25.4 eV/f.u.
Calculated total energy: -48.70 eV/cell

Record 4
First-principles (PBE) data for an optimized crystal structure of Pr8Tm2Pb, as listed in Alexandria.

abc: 9.6331 9.6331 8.2018
angles: 105.12 105.12 30.46
Fractional coordinates of all 11 atoms:
1 Pr 0.0442 0.0442 0.2308
2 Pr 0.1386 0.1386 0.6820
3 Pr 0.3218 0.3218 0.5929
4 Pr 0.4082 0.4082 0.0558
5 Pr 0.5918 0.5918 0.9442
6 Pr 0.6782 0.6782 0.4071
7 Pr 0.8614 0.8614 0.3180
8 Pr 0.9558 0.9558 0.7692
9 Tm 0.2250 0.2250 0.1312
10 Tm 0.7750 0.7750 0.8688
11 Pb 0.5000 0.5000 0.5000

Summary:
Energy of formation: -82 meV/atom
DOS at the Fermi energy: 1.422 states/eV/atom
Calculated total energy: -51.79 eV/cell

> What is the DOS at the Fermi energy in the fourth record?

1.422 states/eV/atom

> calculated total energy of number 3 (Rb6InCl8)?

-48.70 eV/cell

> Which formula does entry 2 have?

MgNbIn2